Entry 1:
## YAgW2O8 (PBEsol)

Data for YAgW2O8 after structural relaxation.

Results
The value obtained for the energy above the lowest structure with this stoichiometry is 0.000 eV per atom. The calculation puts the uncorrected formation energy at -2243 meV per atom. Its calculated density is 7.64 g/cm3. The calculation puts the magnetic moment at 0.00 Bohr magnetons per cell.

Cell: 9.8785 10.7184 7.1609 Å, 90.00 127.43 90.00°
Closest atoms and distances in Å follow each position.
Space group C2/m (No. 12)
Inequivalent atoms, fractional coordinates:
Y 0.0000 0.1941 0.0000 [4 per cell]  8 O 2.27-2.51
Ag 0.1866 0.0000 0.5205 [4 per cell]  2 O 2.27-2.39
W 0.0000 0.3352 0.5000 [4 per cell]  4 O 1.78-1.90
W 0.2107 0.5000 0.9760 [4 per cell]  3 O 1.79-1.86
O 0.0229 0.5000 0.3386 [4 per cell]  3 W 2.02-2.20
O 0.0497 0.2342 0.3516 [8 per cell]  1 W 1.78
O 0.0536 0.0000 0.8577 [4 per cell]  1 W 1.86
O 0.1710 0.3691 0.0925 [8 per cell]  1 W 1.79
O 0.2276 0.3762 0.7593 [8 per cell]  2 W 1.90-2.12

***

Entry 2:
## CoRh (PBEsol)

Data for CoRh after structural relaxation.

Results
As for the formation enthalpy at 0 K: 0.075 eV per atom. Its calculated density is 11.28 g/cm3. The calculation puts the magnetic moment at 5.85 Bohr magnetons per cell.

Cell: 3.6017 3.6017 7.3438 Å, 90.00 90.00 90.00°
Closest atoms and distances in Å follow each position.
Space group I4_1/amd (No. 141, origin choice 2)
Inequivalent atoms, fractional coordinates:
Co 0.0000 0.2500 0.3750 [4 per cell]  8 Rh 2.55-2.57, 4 Co 2.57
Rh 0.0000 0.2500 0.8750 [4 per cell]  8 Co 2.55-2.57, 4 Rh 2.57

***

Entry 3:
## InMoF2 (PBEsol)

Data for InMoF2 after structural relaxation.

Results
The calculation puts the uncorrected formation energy at -310 meV per atom. Its calculated density is 7.57 g/cm3. The calculation puts the magnetic moment at 0.06 Bohr magnetons per cell.

Cell: 6.0214 6.0214 6.0214 Å, 90.00 90.00 90.00°
Closest atoms and distances in Å follow each position.
Space group Fm-3m (No. 225)
Inequivalent atoms, fractional coordinates:
In 0.0000 0.0000 0.0000 [4 per cell]  8 F 2.61
Mo 0.0000 0.0000 0.5000 [4 per cell]  8 F 2.61
F 0.2500 0.2500 0.2500 [8 per cell]  4 Mo 2.61, 4 In 2.61

***

Respective calculated volume values: 151; 24; 55 Å³/f.u..